a) Density functional theory data (GGA-PBE) for an optimized crystal structure of NaZn2Cr.

The structure in extended XYZ format:
```
4
Lattice="0.000 3.276 3.276 3.276 0.000 3.276 3.276 3.276 0.000" Properties=species:S:1:pos:R:3 pbc="T T T"
Na 0.000 0.000 0.000
Zn 1.638 1.638 1.638
Zn 4.913 4.913 4.913
Cr 3.276 3.276 3.276
```

## Properties
Space group: Fm-3m
Total magnetization, μB/f.u.: 3.85



b) Density functional theory data (GGA-PBE) for an optimized crystal structure of NaZn2Cr.

The structure in extended XYZ format:
```
8
Lattice="-2.395 2.395 9.258 2.395 -2.395 9.258 2.395 2.395 -9.258" Properties=species:S:1:pos:R:3 pbc="T T T"
Na 0.000 0.000 0.000
Na 0.000 2.395 4.629
Zn 1.198 -0.041 6.943
Zn 2.355 1.198 2.314
Zn 1.198 2.436 -2.314
Zn 0.041 1.198 11.572
Cr 2.395 0.000 4.629
Cr 0.000 0.000 9.258
```

## Properties
Space group: I-42d
Total magnetization, μB/f.u.: 4.61



How far above the most stable structure does each one sit? In meV/atom: a) 0; b) 226.



a) Density functional theory data (GGA-PBE) for an optimized crystal structure of Na3ZnCr.

The structure in extended XYZ format:
```
5
Lattice="5.507 0.000 0.000 0.000 5.507 0.000 0.000 0.000 5.507" Properties=species:S:1:pos:R:3 pbc="T T T"
Na 0.000 0.000 2.754
Na 0.000 2.754 0.000
Na 2.754 0.000 0.000
Zn 0.000 0.000 0.000
Cr 2.754 2.754 2.754
```

## Properties
Space group: Pm-3m
Total magnetization, μB/f.u.: 5.14



b) Density functional theory data (GGA-PBE) for an optimized crystal structure of Na3ZnCr.

The structure in extended XYZ format:
```
5
Lattice="5.842 0.000 0.000 0.000 5.842 0.000 0.000 0.000 5.842" Properties=species:S:1:pos:R:3 pbc="T T T"
Na 0.000 0.000 2.921
Na 0.000 2.921 0.000
Na 2.921 0.000 0.000
Zn 2.921 2.921 2.921
Cr 0.000 0.000 0.000
```

## Properties
Space group: Pm-3m
Total magnetization, μB/f.u.: 5.65



How far above the most stable structure does each one sit? In meV/atom: a) 0; b) 97.



a) Density functional theory data (GGA-PBE) for an optimized crystal structure of NaZr2Cr2.

The structure in extended XYZ format:
```
10
Lattice="8.180 0.000 0.000 0.000 8.180 0.000 0.000 0.000 3.088" Properties=species:S:1:pos:R:3 pbc="T T T"
Na 0.000 0.000 0.000
Na 4.090 4.090 0.000
Zr 1.178 2.912 0.000
Zr 2.912 7.002 0.000
Zr 5.268 1.178 0.000
Zr 7.002 5.268 0.000
Cr 1.171 5.261 1.544
Cr 2.919 1.171 1.544
Cr 5.261 7.009 1.544
Cr 7.009 2.919 1.544
```

## Properties
Space group: P4/mbm
Total magnetization, μB/f.u.: 5.52



b) Density functional theory data (GGA-PBE) for an optimized crystal structure of NaZr2Cr2.

The structure in extended XYZ format:
```
5
Lattice="-1.621 1.621 10.408 1.621 -1.621 10.408 1.621 1.621 -10.408" Properties=species:S:1:pos:R:3 pbc="T T T"
Na 0.000 0.000 0.000
Zr 0.000 0.000 7.483
Zr 0.000 0.000 13.333
Cr 1.621 0.000 5.204
Cr 0.000 1.621 5.204
```

## Properties
Space group: I4/mmm
Total magnetization, μB/f.u.: 0.00



How far above the most stable structure does each one sit? In meV/atom: a) 0; b) 24.



a) Density functional theory data (GGA-PBE) for an optimized crystal structure of NaZrCr2.

The structure in extended XYZ format:
```
4
Lattice="0.000 3.367 3.367 3.367 0.000 3.367 3.367 3.367 0.000" Properties=species:S:1:pos:R:3 pbc="T T T"
Na 0.000 0.000 0.000
Zr 3.367 3.367 3.367
Cr 1.683 1.683 1.683
Cr 5.050 5.050 5.050
```

## Properties
Space group: Fm-3m
Total magnetization, μB/f.u.: 6.70



b) Density functional theory data (GGA-PBE) for an optimized crystal structure of NaZrCr2.

The structure in extended XYZ format:
```
8
Lattice="-1.921 1.921 9.582 1.921 -1.921 9.582 1.921 1.921 -9.582" Properties=species:S:1:pos:R:3 pbc="T T T"
Na 0.000 0.000 0.000
Na 0.000 1.921 4.791
Zr 1.921 0.000 4.791
Zr 0.000 0.000 9.582
Cr 0.961 -0.712 7.186
Cr 1.210 0.961 2.395
Cr 0.961 2.633 -2.395
Cr 0.712 0.961 11.977
```

## Properties
Space group: I-42d
Total magnetization, μB/f.u.: 0.00



How far above the most stable structure does each one sit? In meV/atom: a) 0; b) 388.



a) Density functional theory data (GGA-PBE) for an optimized crystal structure of NaZr3Cr.

The structure in extended XYZ format:
```
5
Lattice="4.970 0.000 0.000 0.000 4.970 0.000 0.000 0.000 4.970" Properties=species:S:1:pos:R:3 pbc="T T T"
Na 0.000 0.000 0.000
Zr 0.000 2.485 2.485
Zr 2.485 0.000 2.485
Zr 2.485 2.485 0.000
Cr 2.485 2.485 2.485
```

## Properties
Space group: Pm-3m
Total magnetization, μB/f.u.: 0.00



b) Density functional theory data (GGA-PBE) for an optimized crystal structure of NaZr3Cr.

The structure in extended XYZ format:
```
5
Lattice="4.900 0.000 0.000 0.000 4.900 0.000 0.000 0.000 4.900" Properties=species:S:1:pos:R:3 pbc="T T T"
Na 0.000 0.000 0.000
Zr 0.000 0.000 2.450
Zr 0.000 2.450 0.000
Zr 2.450 0.000 0.000
Cr 2.450 2.450 2.450
```

## Properties
Space group: Pm-3m
Total magnetization, μB/f.u.: 0.16



How far above the most stable structure does each one sit? In meV/atom: a) 0; b) 1363.



a) Density functional theory data (GGA-PBE) for an optimized crystal structure of NaZr2Cr.

The structure in extended XYZ format:
```
8
Lattice="-3.703 3.703 5.253 3.703 -3.703 5.253 3.703 3.703 -5.253" Properties=species:S:1:pos:R:3 pbc="T T T"
Na 3.703 1.852 1.313
Na 0.000 1.852 3.940
Zr 0.000 0.000 0.000
Zr 1.852 1.852 -2.627
Zr 1.852 -1.852 2.627
Zr 0.000 3.703 0.000
Cr 3.703 -1.852 3.940
Cr 0.000 5.555 1.313
```

## Properties
Space group: I4_1/amd
Total magnetization, μB/f.u.: 0.00



b) Density functional theory data (GGA-PBE) for an optimized crystal structure of NaZr2Cr.

The structure in extended XYZ format:
```
4
Lattice="0.000 3.428 3.428 3.428 0.000 3.428 3.428 3.428 0.000" Properties=species:S:1:pos:R:3 pbc="T T T"
Na 0.000 0.000 0.000
Zr 1.714 1.714 1.714
Zr 5.142 5.142 5.142
Cr 3.428 3.428 3.428
```

## Properties
Space group: Fm-3m
Total magnetization, μB/f.u.: 2.05



How far above the most stable structure does each one sit? In meV/atom: a) 708; b) 0.



a) Density functional theory data (GGA-PBE) for an optimized crystal structure of NbCr2Ni.

The structure in extended XYZ format:
```
8
Lattice="-3.382 3.382 2.461 3.382 -3.382 2.461 3.382 3.382 -2.461" Properties=species:S:1:pos:R:3 pbc="T T T"
Nb 0.000 0.000 0.000
Nb 0.000 3.382 1.230
Cr 1.691 -1.523 1.846
Cr 1.859 1.691 0.615
Cr 1.691 4.905 -0.615
Cr 1.523 1.691 3.076
Ni 3.382 0.000 1.230
Ni 0.000 0.000 2.461
```

## Properties
Space group: I-42d
Total magnetization, μB/f.u.: 0.00



b) Density functional theory data (GGA-PBE) for an optimized crystal structure of NbCr2Ni.

The structure in extended XYZ format:
```
4
Lattice="0.000 2.995 2.995 2.995 0.000 2.995 2.995 2.995 0.000" Properties=species:S:1:pos:R:3 pbc="T T T"
Nb 0.000 0.000 0.000
Cr 1.497 1.497 1.497
Cr 4.492 4.492 4.492
Ni 2.995 2.995 2.995
```

## Properties
Space group: Fm-3m
Total magnetization, μB/f.u.: 3.17



How far above the most stable structure does each one sit? In meV/atom: a) 431; b) 0.